An optimized crystal structure of WC, computed with PBE-GGA.

Cell: 8.252 4.142 5.749 Å, 90.00 90.00 90.00°
Fractional positions:
C: 0.745 0.250 0.193
W: 0.503 0.250 0.330
C: 0.255 0.750 0.807
W: 0.003 0.250 0.170
W: 0.262 0.750 0.164
C: 0.006 0.750 0.207
W: 0.238 0.250 0.664
C: 0.994 0.250 0.793
C: 0.245 0.250 0.307
W: 0.997 0.750 0.830
W: 0.497 0.750 0.670
W: 0.738 0.250 0.836
C: 0.755 0.750 0.693
C: 0.506 0.750 0.293
C: 0.494 0.250 0.707
W: 0.762 0.750 0.336

Summary:
* raw total energy: -10.73 eV/atom
* V: 12.28 Å³ per atom
* space group: Pnma (62)
* size of the total moment: 0.000 μB/f.u.